Material: Ac3HoCr2N6
Method: DFT, PBE
State: optimized geometry Values from VASP.

Electronic total energy ... -98.0 eV for the cell shown
D(E_F) ... 6.19 states/eV/f.u.
Size of the total moment ... 0.79 μB/f.u.
Raw formation energy ... -0.990 eV per atom
Symmetry ... P-3m1, No. 164

```
&SYSTEM
  ibrav = 0, nat = 12, ntyp = 4
/
ATOMIC_SPECIES
Ac 227.00 Ac.upf
Ho 164.93 Ho.upf
Cr 52.00 Cr.upf
N 14.01 N.upf
CELL_PARAMETERS angstrom
-3.528 -4.789 -0.130
4.183 0.727 -4.167
4.555 -3.463 3.968
ATOMIC_POSITIONS crystal
Ac 0.333 0.667 0.683
Ac 0.667 0.333 0.317
Ac 0.000 0.000 0.000
Ho 0.000 0.000 0.500
Cr 0.667 0.333 0.787
Cr 0.333 0.667 0.213
N 0.654 0.827 0.291
N 0.173 0.346 0.291
N 0.173 0.827 0.291
N 0.827 0.654 0.709
N 0.346 0.173 0.709
N 0.827 0.173 0.709
```